A.
A geometry-optimized MoRh2W structure, computed with PBE.

Summary:
space group = R-3m (166)

Geometry as POSCAR:
```
MoRh2W
1.0
1.388 0.802 9.011
-1.388 0.802 9.011
0.000 -1.603 9.011
Mo Rh W
1 2 1
Cartesian
0.000 0.000 0.000
0.000 0.000 6.752
0.000 0.000 20.282
0.000 0.000 13.517
```

***

B.
A geometry-optimized MoRh2W structure, computed with PBE.

Summary:
space group = P4mm (99)

Geometry as POSCAR:
```
MoRh2W
1.0
2.768 0.000 0.000
0.000 2.768 0.000
0.000 0.000 7.910
Mo Rh W
1 2 1
Cartesian
0.000 0.000 0.000
0.000 0.000 3.902
1.384 1.384 1.850
1.384 1.384 5.759
```

***

C.
A geometry-optimized MoRh2W structure, computed with PBE.

Summary:
space group = Cm (8)

Geometry as POSCAR:
```
MoRh2W
1.0
4.554 -1.385 0.000
4.554 1.385 0.000
-0.867 0.000 4.776
Mo Rh W
1 2 1
Cartesian
0.000 0.000 0.000
1.612 0.000 3.776
4.114 0.000 2.424
6.603 0.000 1.423
```

***

Question: which arrangement is favored energetically? Ranking from most to least stable: C, B, A.

***

A.
A geometry-optimized MoRh2W structure, computed with PBE.

Summary:
space group = I4/mmm (139)

Geometry as POSCAR:
```
MoRh2W
1.0
-1.946 1.946 3.935
1.946 -1.946 3.935
1.946 1.946 -3.935
Mo Rh W
1 2 1
Cartesian
0.000 0.000 0.000
1.946 0.000 1.968
0.000 1.946 1.968
0.000 0.000 3.935
```

***

B.
A geometry-optimized MoRh2W structure, computed with PBE.

Summary:
space group = Pmmm (47)

Geometry as POSCAR:
```
MoRh2W
1.0
2.749 0.000 0.000
0.000 3.930 0.000
0.000 0.000 5.528
Mo Rh W
1 2 1
Cartesian
0.000 0.000 0.000
1.374 1.965 1.382
1.374 1.965 4.146
0.000 0.000 2.764
```

***

C.
A geometry-optimized MoRh2W structure, computed with PBE.

Summary:
space group = R3m (160)

Geometry as POSCAR:
```
MoRh2W
1.0
1.390 0.802 9.124
-1.390 0.802 9.124
0.000 -1.605 9.124
Mo Rh W
1 2 1
Cartesian
0.000 0.000 0.000
0.000 0.000 13.607
0.000 0.000 20.363
0.000 0.000 6.611
```

***

Question: which arrangement is favored energetically? Ranking from most to least stable: A, B, C.